Record 1
Al2ReAg: optimized geometry, PBE.

Computed properties:
D(E_F), states/eV/f.u.: 0.02
SG: No. 122
Magnetization, μB per atom: 0.0000
E_form, meV/atom: 512.6

Cell and atoms, written as POSCAR:
```
Al2ReAg
1.0
6.871 0.000 0.000
0.000 6.871 0.000
3.436 3.436 2.846
Re Al Ag
2 4 2
direct
0.000 0.000 0.000 Re
0.750 0.250 0.500 Re
0.622 0.125 0.250 Al
0.128 0.625 0.250 Al
0.375 0.378 0.750 Al
0.875 0.872 0.750 Al
0.500 0.500 0.000 Ag
0.250 0.750 0.500 Ag
```

=====

Record 2
AlReAg: optimized geometry, PBE.

Computed properties:
D(E_F), states/eV/f.u.: 1.97
SG: No. 129
Magnetization, μB per atom: 0.0000
E_form, meV/atom: -146.5

Cell and atoms, written as POSCAR:
```
AlReAg
1.0
-2.322 1.038 1.622
-1.925 -1.217 -1.978
-0.088 -8.695 5.438
Re Al Ag
2 2 2
direct
0.000 0.500 0.422 Re
0.500 0.000 0.578 Re
0.000 0.500 0.732 Al
0.500 0.000 0.268 Al
0.000 0.500 0.098 Ag
0.500 0.000 0.902 Ag
```

=====

Record 3
AlReAg: optimized geometry, PBE.

Computed properties:
D(E_F), states/eV/f.u.: 1.33
SG: No. 63
Magnetization, μB per atom: 0.0000
E_form, meV/atom: 50.3

Cell and atoms, written as POSCAR:
```
AlReAg
1.0
2.943 0.000 0.000
0.000 14.712 0.000
0.000 0.000 4.394
Re Al Ag
4 4 4
direct
0.000 0.044 0.250 Re
0.000 0.956 0.750 Re
0.500 0.544 0.250 Re
0.500 0.456 0.750 Re
0.000 0.390 0.250 Al
0.000 0.610 0.750 Al
0.500 0.890 0.250 Al
0.500 0.110 0.750 Al
0.000 0.716 0.250 Ag
0.000 0.284 0.750 Ag
0.500 0.216 0.250 Ag
0.500 0.784 0.750 Ag
```

=====

Record 4
Al2ReAg: optimized geometry, PBE.

Computed properties:
D(E_F), states/eV/f.u.: 0.99
SG: No. 65
Magnetization, μB per atom: 0.0000
E_form, meV/atom: -58.0

Cell and atoms, written as POSCAR:
```
Al2ReAg
1.0
4.602 0.042 0.000
-0.752 4.540 0.000
0.000 0.000 2.900
Re Al Ag
1 2 1
direct
0.500 0.000 0.500 Re
0.000 0.000 0.000 Al
0.500 0.500 0.000 Al
0.000 0.500 0.500 Ag
```